CaFe2BrF PBE with a Hubbard U optimized geometry; energy = -3.716 eV/atom; space group = P4/mmm, No. 123; magnetic moment = 6.6 μB/cell
1.0
4.280 0.000 0.000
0.000 6.392 0.000
0.000 0.000 4.280
Ca Fe Br F
1 2 1 1
Direct
0.000 0.500 0.000 Ca
0.000 0.000 0.500 Fe
0.500 0.000 0.000 Fe
0.500 0.500 0.500 Br
0.000 0.000 0.000 F